Tb2NdDy8 after structural relaxation. Source: the Alexandria database, functional PBE-GGA.

Cell lengths 9.409, 9.409, 7.961 Å; angles 104.73, 104.73, 30.99 degrees
Fractional coordinates of all 11 atoms:
Tb (0.228, 0.228, 0.137)
Tb (0.772, 0.772, 0.863)
Nd (0.500, 0.500, 0.500)
Dy (0.046, 0.046, 0.226)
Dy (0.137, 0.137, 0.683)
Dy (0.318, 0.318, 0.591)
Dy (0.409, 0.409, 0.043)
Dy (0.591, 0.591, 0.957)
Dy (0.682, 0.682, 0.409)
Dy (0.863, 0.863, 0.317)
Dy (0.954, 0.954, 0.774)

Calculated values
Crystal system: monoclinic
SG: No. 12
Energy relative to the elements, meV per atom: 17.8



TlGaH2 after structural relaxation. Source: the Alexandria database, functional PBE-GGA.

Cell lengths 4.389, 4.389, 4.389 Å; angles 60.00, 60.00, 60.00 degrees
Fractional coordinates of all 4 atoms:
Tl (0.000, 0.000, 0.000)
Ga (0.500, 0.500, 0.500)
H (0.250, 0.250, 0.250)
H (0.750, 0.750, 0.750)

Calculated values
Crystal system: cubic
SG: No. 225



In μB/cell, the total moment values for the records above are, in order, 0.000 0.000.
In meV/atom, the excess energy over the best structure of this formula in the dataset values for the records above are, in order, 0 499.